An optimized crystal structure of MgZnHg2. Source: Alexandria, functional GGA-PBEsol.

Geometry as POSCAR:
```
MgZnHg2
1.0
4.2695 0.0000 0.0000
0.0000 4.1401 0.0000
-2.1348 -2.0700 4.4211
Hg Mg Zn
2 1 1
Cartesian
2.1348 0.0000 2.2166
0.0000 0.0000 0.0245
0.0000 0.0000 4.4067
0.0000 2.0700 2.1943
```

Values from the calculation:
The value obtained for the formation energy is -84 meV per atom. The crystal system is orthorhombic. The raw total energy comes out at -4.8 eV per formula unit.



An optimized crystal structure of Mg2ZnHg. Source: Alexandria, functional GGA-PBEsol.

Geometry as POSCAR:
```
Mg2ZnHg
1.0
-4.0254 0.7943 0.7051
-1.0093 -3.7212 -1.5703
2.8685 -0.3303 4.4578
Hg Zn Mg
1 1 2
Cartesian
-0.3291 -2.7575 1.2275
-2.5174 -1.4634 -0.4326
-1.8371 -0.4997 2.3652
0.0000 0.0000 0.0000
```

Values from the calculation:
The calculation puts the offset from the most stable computed form at 57 meV/atom. The value obtained for the formation energy is -120 meV per atom. The crystal system is tetragonal. The raw total energy comes out at -6.1 eV per formula unit.



An optimized crystal structure of Mg2ZnHg. Source: Alexandria, functional GGA-PBEsol.

Geometry as POSCAR:
```
Mg2ZnHg
1.0
-0.8741 -3.3730 1.2642
3.7487 -1.6452 -1.7977
0.8490 3.3984 4.2203
Mg Zn Hg
2 1 1
Cartesian
0.0301 0.0117 0.0521
2.9677 -0.3973 0.9918
2.2504 0.8754 3.8915
0.7616 -1.2203 2.7049
```

Values from the calculation:
The calculation puts the offset from the most stable computed form at 53 meV/atom. The value obtained for the formation energy is -124 meV per atom. The crystal system is orthorhombic. The raw total energy comes out at -6.1 eV per formula unit.



An optimized crystal structure of MgZnHg. Source: Alexandria, functional GGA-PBEsol.

Geometry as POSCAR:
```
MgZnHg
1.0
-2.9725 1.1975 0.2109
0.1445 -0.4342 4.5020
1.4062 3.8339 -1.9496
Hg Zn Mg
1 1 1
Cartesian
-0.4961 0.1999 0.0352
0.0734 1.1865 2.3863
-0.9991 3.2108 0.3418
```

Values from the calculation:
The calculation puts the offset from the most stable computed form at 0 meV/atom. The value obtained for the formation energy is -142 meV per atom. The crystal system is trigonal. The raw total energy comes out at -4.3 eV per formula unit.



An optimized crystal structure of Mg2ZnHg. Source: Alexandria, functional GGA-PBEsol.

Geometry as POSCAR:
```
Mg2ZnHg
1.0
3.2513 0.0000 0.0000
0.0000 4.8670 -0.0902
-1.6257 -1.5813 4.9123
Mg Hg Zn
2 1 1
Cartesian
1.6257 0.6511 2.5860
1.6257 3.0919 4.7073
0.0000 3.0954 2.2400
1.6257 2.1665 0.0658
```

Values from the calculation:
The calculation puts the offset from the most stable computed form at 40 meV/atom. The value obtained for the formation energy is -137 meV per atom. The crystal system is monoclinic. The raw total energy comes out at -6.1 eV per formula unit.



An optimized crystal structure of Mg2ZnHg. Source: Alexandria, functional GGA-PBEsol.

Geometry as POSCAR:
```
Mg2ZnHg
1.0
3.4205 0.0000 0.0000
0.0000 4.6989 0.0630
0.0000 -0.0248 4.6992
Mg Hg Zn
2 1 1
Cartesian
0.0000 -0.0124 2.3496
0.0000 2.3494 0.0315
1.7103 2.3370 2.3811
1.7103 0.0000 0.0000
```

Values from the calculation:
The calculation puts the offset from the most stable computed form at 2 meV/atom. The value obtained for the formation energy is -176 meV per atom. The crystal system is orthorhombic. The raw total energy comes out at -6.3 eV per formula unit.



Which value of raw total energy does entry 6 give? -6.3 eV per formula unit